Entry 1:
The following is a PBE calculation of crystalline BaAl2Te at its relaxed geometry, from Alexandria via LeMat-Bulk.

## Properties
- calculated volume (Å³/cell) = 119.3
- E_form (uncorrected) (meV per atom) = -97
- N(E_F) (states/eV per atom) = 0.696

abc: 5.5249 5.5249 5.5249
angles: 60.00 60.00 60.00
Closest atoms and distances in Å follow each position.
Element x y z (fractional)
Al: 0.2500 0.2500 0.2500  4 Ba 3.38, 4 Al 3.38
Al: 0.0000 0.0000 0.0000  4 Te 3.38, 4 Al 3.38
Ba: 0.5000 0.5000 0.5000  4 Te 3.38, 4 Al 3.38
Te: 0.7500 0.7500 0.7500  4 Ba 3.38, 4 Al 3.38

=====

Entry 2:
The following is a PBE calculation of crystalline TaFeRe2Sb at its relaxed geometry, from Alexandria via LeMat-Bulk.

## Properties
- calculated volume (Å³/cell) = 99.7
- E_form (uncorrected) (meV per atom) = 2101
- N(E_F) (states/eV per atom) = 0.736

abc: 4.7785 4.3664 4.7785
angles: 90.00 90.00 90.00
Closest atoms and distances in Å follow each position.
Element x y z (fractional)
Re: 0.0000 0.0000 0.5000  2 Sb 2.39
Re: 0.5000 0.0000 0.0000  2 Sb 2.39
Fe: 0.0000 0.5000 0.0000  2 Sb 2.18
Sb: 0.0000 0.0000 0.0000  2 Fe 2.18, 4 Re 2.39
Ta: 0.5000 0.5000 0.5000  8 Re 3.24, 4 Fe 3.38